DFT (PBE) results for an optimized crystal structure of BaMgPdRu2.

Calculated values
ΔH_f (0 K) in eV/atom: 1.205
DOS(E_F) in states/eV per cell: 5.5
Final energy in eV/f.u.: -21.24

Cell lengths 4.986, 4.986, 5.633 Å; angles 90.00, 90.00, 90.00 degrees
Space group P4/mmm (No. 123)
Symmetry-distinct sites (fractional):
Ba1 0.000 0.000 0.000 x1
Mg1 0.500 0.500 0.000 x1
Pd1 0.000 0.000 0.500 x1
Ru1 0.000 0.500 0.500 x2

DFT (PBE) results for an optimized crystal structure of Na3OsW.

Calculated values
ΔH_f (0 K) in eV/atom: 2.440
DOS(E_F) in states/eV per cell: 6.1
E above lowest polymorph in meV/atom: 0
Final energy in eV/f.u.: -15.94

Cell lengths 5.550, 5.550, 5.550 Å; angles 90.00, 90.00, 90.00 degrees
Space group Pm-3m (No. 221)
Symmetry-distinct sites (fractional):
Na1 0.000 0.000 0.500 x3
Os1 0.000 0.000 0.000 x1
W1 0.500 0.500 0.500 x1

DFT (PBE) results for an optimized crystal structure of La4CdGe2.

Calculated values
ΔH_f (0 K) in eV/atom: -0.582
DOS(E_F) in states/eV per cell: 72.6
Final energy in eV/f.u.: -33.93

Cell lengths 13.230, 13.265, 9.597 Å; angles 90.00, 90.00, 90.00 degrees
Space group Fdd2 (No. 43)
Symmetry-distinct sites (fractional):
La1 0.046 0.377 0.000 x16
La2 0.124 0.046 0.134 x16
Cd1 0.000 0.000 0.817 x8
Ge1 0.058 0.308 0.692 x16

DFT (PBE) results for an optimized crystal structure of K4PaSn3O12.

Calculated values
DOS(E_F) in states/eV per cell: 18.0
ΔE_f (raw) in eV per atom: -1.78
Final energy in eV/f.u.: -121.09

Cell lengths 8.430, 8.430, 8.430 Å; angles 90.00, 90.00, 90.00 degrees
Space group Im-3m (No. 229)
Symmetry-distinct sites (fractional):
K1 0.250 0.250 0.250 x8
Pa1 0.000 0.000 0.000 x2
Sn1 0.000 0.000 0.500 x6
O1 0.000 0.000 0.256 x12
O2 0.000 0.250 0.500 x12

DFT (PBE) results for an optimized crystal structure of ThPaRePb.

Calculated values
ΔH_f (0 K) in eV/atom: -0.133
DOS(E_F) in states/eV per cell: 3.8
Final energy in eV/f.u.: -33.60

Cell lengths 3.359, 3.359, 8.944 Å; angles 90.00, 90.00, 90.00 degrees
Space group P4mm (No. 99)
Symmetry-distinct sites (fractional):
Th1 0.000 0.000 0.000 x1
Pa1 0.000 0.000 0.589 x1
Re1 0.500 0.500 0.777 x1
Pb1 0.500 0.500 0.299 x1

DFT (PBE) results for an optimized crystal structure of MnReRu.

Calculated values
ΔH_f (0 K) in eV/atom: 0.581
DOS(E_F) in states/eV per cell: 10.0
E above lowest polymorph in meV/atom: 502
Final energy in eV/f.u.: -29.15

Cell lengths 5.796, 5.796, 5.796 Å; angles 90.00, 90.00, 90.00 degrees
Space group F-43m (No. 216)
Symmetry-distinct sites (fractional):
Mn1 0.000 0.000 0.000 x4
Re1 0.250 0.250 0.750 x4
Ru1 0.000 0.000 0.500 x4

| no. | V (A^3/atom) | density (g cm⁻³) | magnetization (μB/cell) |
| --- | --- | --- | --- |
| 1 | 28.01 | 5.58 | 3.69 |
| 2 | 34.20 | 4.30 | 2.98 |
| 3 | 30.08 | 6.41 | 0.00 |
| 4 | 14.98 | 5.19 | 6.11 |
| 5 | 25.22 | 14.10 | 0.00 |
| 6 | 16.23 | 11.67 | 7.09 |